[1]
Density functional theory data (PBE) for crystalline Ni5Mo at its relaxed geometry.

Values from the calculation:
Total magnetic moment: 0.91 μB/f.u.
Formation energy: 0.01 eV/atom

Structure (extended XYZ):
```
12
Lattice="4.129 0.000 0.000 0.000 2.573 0.000 0.000 0.000 13.219" Properties=species:S:1:pos:R:3 pbc="T T T"
Ni 0.000 0.000 0.000
Ni 0.000 0.000 4.300
Ni 0.000 0.000 8.784
Ni 0.000 1.287 2.174
Ni 0.000 1.287 6.610
Ni 0.000 1.287 10.910
Ni 2.064 0.000 2.886
Ni 2.064 0.000 7.375
Ni 2.064 1.287 0.766
Ni 2.064 1.287 9.496
Mo 2.064 0.000 11.756
Mo 2.064 1.287 5.146
```

***

[2]
Density functional theory data (PBE) for crystalline Ni2Mo at its relaxed geometry.

Values from the calculation:
Excess energy over the best structure of this formula in the dataset: 14 meV/atom
Total magnetic moment: 0.00 μB/f.u.
Formation energy: -0.08 eV/atom

Structure (extended XYZ):
```
12
Lattice="2.605 0.000 0.000 0.000 13.609 0.000 0.000 0.000 4.205" Properties=species:S:1:pos:R:3 pbc="T T T"
Ni 0.000 0.712 1.051
Ni 0.000 3.831 3.154
Ni 0.000 9.778 1.051
Ni 0.000 12.897 3.154
Ni 1.303 2.974 1.051
Ni 1.303 6.093 3.154
Ni 1.303 7.516 1.051
Ni 1.303 10.635 3.154
Mo 0.000 5.261 1.051
Mo 0.000 8.347 3.154
Mo 1.303 1.543 3.154
Mo 1.303 12.066 1.051
```

***

[3]
Density functional theory data (PBE) for crystalline Ni5Mo3 at its relaxed geometry.

Values from the calculation:
Excess energy over the best structure of this formula in the dataset: 175 meV/atom
Total magnetic moment: 0.00 μB/f.u.
Formation energy: 0.20 eV/atom

Structure (extended XYZ):
```
16
Lattice="7.139 0.000 0.000 0.000 4.664 0.000 -3.566 0.000 6.384" Properties=species:S:1:pos:R:3 pbc="T T T"
Ni 0.000 0.000 0.000
Ni -0.746 2.332 1.353
Ni 0.324 0.000 2.420
Ni 1.744 2.332 0.005
Ni 1.443 2.332 2.426
Ni 2.515 0.000 1.351
Ni 4.454 1.166 0.049
Ni 4.454 3.498 0.049
Ni 4.454 1.166 4.309
Ni 4.454 3.499 4.309
Mo -0.286 2.332 4.098
Mo -0.780 0.000 5.141
Mo 2.049 0.000 4.095
Mo 3.787 2.332 2.182
Mo 2.550 2.332 5.137
Mo 5.118 0.000 2.182
```

***

[4]
Density functional theory data (PBE) for crystalline NiMo2 at its relaxed geometry.

Values from the calculation:
Excess energy over the best structure of this formula in the dataset: 0 meV/atom
Total magnetic moment: 0.00 μB/f.u.
Formation energy: 0.04 eV/atom

Structure (extended XYZ):
```
6
Lattice="2.643 0.000 0.000 0.000 2.643 0.000 0.000 0.000 12.210" Properties=species:S:1:pos:R:3 pbc="T T T"
Ni 0.000 0.000 0.000
Ni 1.321 1.321 6.105
Mo 0.000 0.000 4.209
Mo 0.000 0.000 8.001
Mo 1.321 1.321 1.896
Mo 1.321 1.321 10.314
```

***

[5]
Density functional theory data (PBE) for crystalline NiMo2 at its relaxed geometry.

Values from the calculation:
Excess energy over the best structure of this formula in the dataset: 64 meV/atom
Total magnetic moment: 0.00 μB/f.u.
Formation energy: 0.11 eV/atom

Structure (extended XYZ):
```
12
Lattice="4.015 0.000 0.000 0.000 11.636 0.000 0.000 0.000 3.670" Properties=species:S:1:pos:R:3 pbc="T T T"
Ni 0.000 0.917 0.918
Ni 0.000 10.719 2.753
Ni 2.007 4.901 2.753
Ni 2.007 6.735 0.918
Mo 0.000 2.978 2.753
Mo 0.000 4.925 0.918
Mo 0.000 6.711 2.753
Mo 0.000 8.657 0.918
Mo 2.007 0.893 2.753
Mo 2.007 2.840 0.918
Mo 2.007 8.796 2.753
Mo 2.007 10.743 0.918
```

***

[6]
Density functional theory data (PBE) for crystalline Ni2Mo at its relaxed geometry.

Values from the calculation:
Excess energy over the best structure of this formula in the dataset: 78 meV/atom
Total magnetic moment: 0.00 μB/f.u.
Formation energy: -0.01 eV/atom

Structure (extended XYZ):
```
12
Lattice="5.339 0.000 0.000 0.000 3.531 0.000 0.000 0.000 7.940" Properties=species:S:1:pos:R:3 pbc="T T T"
Ni 0.633 0.883 0.667
Ni 0.698 0.883 5.947
Ni 1.972 2.648 1.977
Ni 2.036 2.648 4.637
Ni 3.302 0.883 3.303
Ni 3.367 0.883 5.962
Ni 4.641 2.648 1.993
Ni 4.706 2.648 7.273
Mo 0.698 0.883 3.302
Mo 1.971 2.648 7.272
Mo 3.367 0.883 0.668
Mo 4.641 2.648 4.638
```

***

[7]
Density functional theory data (PBE) for crystalline Ni2Mo at its relaxed geometry.

Values from the calculation:
Excess energy over the best structure of this formula in the dataset: 269 meV/atom
Total magnetic moment: 0.00 μB/f.u.
Formation energy: 0.18 eV/atom

Structure (extended XYZ):
```
12
Lattice="2.561 0.000 0.000 0.000 3.980 0.000 0.000 0.000 15.735" Properties=species:S:1:pos:R:3 pbc="T T T"
Ni 0.000 0.995 0.604
Ni 0.000 0.995 2.966
Ni 0.000 2.985 12.768
Ni 0.000 2.985 15.131
Ni 1.280 0.995 4.901
Ni 1.280 0.995 7.264
Ni 1.280 2.985 8.471
Ni 1.280 2.985 10.834
Mo 0.000 0.995 9.613
Mo 0.000 2.985 6.121
Mo 1.280 0.995 13.989
Mo 1.280 2.985 1.746
```

***

[8]
Density functional theory data (PBE) for crystalline Ni2Mo at its relaxed geometry.

Values from the calculation:
Excess energy over the best structure of this formula in the dataset: 83 meV/atom
Total magnetic moment: 0.00 μB/f.u.
Formation energy: -0.01 eV/atom

Structure (extended XYZ):
```
12
Lattice="9.512 0.000 0.000 0.000 2.647 0.000 -1.683 0.000 5.949" Properties=species:S:1:pos:R:3 pbc="T T T"
Ni 1.331 0.000 0.214
Ni 0.804 0.000 3.768
Ni 2.269 1.323 2.181
Ni 1.741 1.323 5.736
Ni 6.087 1.323 0.214
Ni 5.560 1.323 3.768
Ni 7.025 0.000 2.181
Ni 6.497 0.000 5.736
Mo -0.283 1.323 1.754
Mo 3.355 0.000 4.196
Mo 4.473 0.000 1.754
Mo 8.111 1.323 4.196
```